(1)
This record from the Alexandria database describes MnHgO2 after structural relaxation. The functional is PBE+U.

```
data_MnHgO2
_cell_length_a 8.1225
_cell_length_b 2.9579
_cell_length_c 11.0439
_cell_angle_alpha 90.00
_cell_angle_beta 90.00
_cell_angle_gamma 90.00
_space_group_name_H-M_alt 'P n m a'
_space_group_IT_number 62
loop_
_space_group_symop_operation_xyz
'x,y,z'
'-x,-y,-z'
'-x+1/2,-y,z+1/2'
'x+1/2,y,-z+1/2'
'x+1/2,-y+1/2,-z+1/2'
'-x+1/2,y+1/2,z+1/2'
'-x,y+1/2,-z'
'x,-y+1/2,z'
loop_
_atom_site_label
_atom_site_fract_x
_atom_site_fract_y
_atom_site_fract_z
_atom_site_occupancy
Mn1 0.0050 0.2500 0.1263 1
Hg1 0.0883 0.7500 0.4131 1
O1 0.1101 0.7500 0.2108 1
O2 0.1237 0.2500 0.9449 1
```

(2)
This record from the Alexandria database describes Mn4HgO8 after structural relaxation. The functional is PBE+U.

```
data_Mn4HgO8
_cell_length_a 6.0117
_cell_length_b 6.0117
_cell_length_c 17.1449
_cell_angle_alpha 90.00
_cell_angle_beta 90.00
_cell_angle_gamma 120.00
_space_group_name_H-M_alt 'R -3 m'
_space_group_IT_number 166
_space_group_name_Hall '-R 3 2"'
loop_
_atom_site_label
_atom_site_fract_x
_atom_site_fract_y
_atom_site_fract_z
_atom_site_occupancy
Mn1 0.0000 0.0000 0.0000 1
Mn2 0.0000 0.5000 0.0000 1
Hg1 0.0000 0.0000 0.5000 1
O1 0.0000 0.0000 0.2760 1
O2 0.0242 0.5121 0.2745 1
```

(3)
This record from the Alexandria database describes MnHg4O2 after structural relaxation. The functional is PBE+U.

```
data_MnHg4O2
_cell_length_a 5.3640
_cell_length_b 5.3640
_cell_length_c 12.0107
_cell_angle_alpha 90.00
_cell_angle_beta 90.00
_cell_angle_gamma 90.00
_space_group_name_H-M_alt 'I 4/m m m'
_space_group_IT_number 139
_space_group_name_Hall '-I 4 2'
loop_
_atom_site_label
_atom_site_fract_x
_atom_site_fract_y
_atom_site_fract_z
_atom_site_occupancy
Mn1 0.0000 0.0000 0.0000 1
Hg1 0.0000 0.0000 0.2225 1
Hg2 0.0000 0.5000 0.0000 1
O1 0.0000 0.0000 0.3964 1
```

(4)
This record from the Alexandria database describes MnHgO2 after structural relaxation. The functional is PBE+U.

```
data_MnHgO2
_cell_length_a 6.0165
_cell_length_b 7.6977
_cell_length_c 5.3494
_cell_angle_alpha 90.00
_cell_angle_beta 90.00
_cell_angle_gamma 90.00
_space_group_name_H-M_alt 'I m a 2'
_space_group_IT_number 46
loop_
_space_group_symop_operation_xyz
'x,y,z'
'-x,-y,z'
'-x+1/2,y,z'
'x+1/2,-y,z'
'x+1/2,y+1/2,z+1/2'
'-x+1/2,-y+1/2,z+1/2'
'-x,y+1/2,z+1/2'
'x,-y+1/2,z+1/2'
loop_
_atom_site_label
_atom_site_fract_x
_atom_site_fract_y
_atom_site_fract_z
_atom_site_occupancy
Mn1 0.2500 0.1263 0.0000 1
Hg1 0.2500 0.6461 0.0341 1
O1 0.0000 0.0000 0.8596 1
O2 0.2500 0.1391 0.3575 1
```

(5)
This record from the Alexandria database describes MnHg3O after structural relaxation. The functional is PBE+U.

Computed properties:
Energy above the lowest structure with this stoichiometry   342 meV/atom

```
data_MnHg3O
_cell_length_a 5.4194
_cell_length_b 5.4194
_cell_length_c 5.4194
_cell_angle_alpha 90.00
_cell_angle_beta 90.00
_cell_angle_gamma 90.00
_space_group_name_H-M_alt 'P m -3 m'
_space_group_IT_number 221
_space_group_name_Hall '-P 4 2 3'
loop_
_atom_site_label
_atom_site_fract_x
_atom_site_fract_y
_atom_site_fract_z
_atom_site_occupancy
Mn1 0.0000 0.0000 0.0000 1
Hg1 0.0000 0.0000 0.5000 1
O1 0.5000 0.5000 0.5000 1
```

(6)
This record from the Alexandria database describes MnHgO2 after structural relaxation. The functional is PBE+U.

```
data_MnHgO2
_cell_length_a 2.9999
_cell_length_b 2.9999
_cell_length_c 7.4825
_cell_angle_alpha 90.00
_cell_angle_beta 90.00
_cell_angle_gamma 120.00
_space_group_name_H-M_alt 'P 3 m 1'
_space_group_IT_number 156
loop_
_space_group_symop_operation_xyz
'x,y,z'
'-y,x-y,z'
'-x+y,-x,z'
'-y,-x,z'
'-x+y,y,z'
'x,x-y,z'
loop_
_atom_site_label
_atom_site_fract_x
_atom_site_fract_y
_atom_site_fract_z
_atom_site_occupancy
Mn1 0.0000 0.0000 0.0000 1
Hg1 0.3333 0.6667 0.5056 1
O1 0.3333 0.6667 0.8681 1
O2 0.6667 0.3333 0.1303 1
```

Record order is preserved below.
Final energy: -5.4159 -6.5894 -2.2884 -5.1970 -1.8934 -5.4374 eV/atom